(1)
Here is Sr2NbInO6 after structural relaxation from the Alexandria database. Energies are from PBEsol.

Lattice parameters (Å, degrees): 5.791 5.791 5.791 60.00 60.00 60.00
Fractional coordinates of all 10 atoms:
O  0.758  0.242  0.758
O  0.242  0.758  0.758
O  0.758  0.758  0.242
O  0.242  0.242  0.758
O  0.758  0.242  0.242
O  0.242  0.758  0.242
Nb  0.000  0.000  0.000
Sr  0.250  0.250  0.250
Sr  0.750  0.750  0.750
In  0.500  0.500  0.500

Results
The uncorrected formation energy is -2.557 eV per atom. As for the crystal system: cubic.

---

(2)
Here is NbInTe2O8 after structural relaxation from the Alexandria database. Energies are from PBEsol.

Lattice parameters (Å, degrees): 7.625 7.703 10.744 90.00 90.00 90.00
Fractional coordinates of all 48 atoms:
O  0.423  0.008  0.825
O  0.744  0.465  0.944
O  0.751  0.456  0.396
O  0.249  0.956  0.604
O  0.551  0.782  0.634
O  0.749  0.956  0.396
O  0.051  0.782  0.366
O  0.922  0.390  0.170
O  0.474  0.717  0.950
O  0.817  0.990  0.666
O  0.683  0.490  0.666
O  0.578  0.890  0.170
O  0.251  0.456  0.604
O  0.937  0.706  0.588
O  0.526  0.217  0.050
O  0.077  0.508  0.825
O  0.563  0.206  0.588
O  0.317  0.990  0.334
O  0.256  0.965  0.056
O  0.183  0.490  0.334
O  0.756  0.965  0.944
O  0.974  0.717  0.050
O  0.063  0.206  0.412
O  0.078  0.890  0.830
O  0.422  0.390  0.830
O  0.923  0.008  0.175
O  0.026  0.217  0.950
O  0.244  0.465  0.056
O  0.577  0.508  0.175
O  0.437  0.706  0.412
O  0.449  0.282  0.366
O  0.949  0.282  0.634
Nb  0.476  0.480  0.998
Nb  0.024  0.980  0.998
Nb  0.524  0.980  0.002
Nb  0.976  0.480  0.002
Te  0.798  0.817  0.248
Te  0.298  0.817  0.752
Te  0.229  0.240  0.279
Te  0.202  0.317  0.752
Te  0.729  0.240  0.721
Te  0.702  0.317  0.248
Te  0.271  0.740  0.279
Te  0.771  0.740  0.721
In  0.996  0.975  0.512
In  0.004  0.475  0.488
In  0.496  0.975  0.488
In  0.504  0.475  0.512

Results
The uncorrected formation energy is -1.616 eV per atom. As for the crystal system: orthorhombic.

---

(3)
Here is Nb2InOsPd after structural relaxation from the Alexandria database. Energies are from PBEsol.

Lattice parameters (Å, degrees): 4.569 4.895 4.895 90.00 90.00 90.00
Last column: magnetic moment on the atom in μB.
Fractional coordinates of all 5 atoms:
In  0.000  0.000  0.000  -0.01
Os  0.500  0.500  0.500  0.96
Pd  0.500  0.000  0.000  0.00
Nb  0.000  0.000  0.500  -0.21
Nb  0.000  0.500  0.000  -0.21

Results
As for the crystal system: tetragonal. The formation enthalpy at 0 K comes out at 2.202 eV/atom.

---

(4)
Here is Nb2InP after structural relaxation from the Alexandria database. Energies are from PBEsol.

Lattice parameters (Å, degrees): 4.570 4.570 4.570 60.00 60.00 60.00
Fractional coordinates of all 4 atoms:
P  0.000  0.000  0.000
Nb  0.750  0.750  0.750
Nb  0.250  0.250  0.250
In  0.500  0.500  0.500

Results
As for the crystal system: cubic. The formation enthalpy at 0 K comes out at 0.024 eV/atom.

---

(5)
Here is NbInP2S after structural relaxation from the Alexandria database. Energies are from PBEsol.

Lattice parameters (Å, degrees): 4.805 4.805 4.848 90.00 90.00 90.00
Last column: magnetic moment on the atom in μB.
Fractional coordinates of all 5 atoms:
P  0.000  0.500  0.000  -0.12
P  0.500  0.000  0.000  -0.12
Nb  0.500  0.500  0.500  1.97
S  0.000  0.000  0.500  -0.11
In  0.000  0.000  0.000  0.02

Results
The uncorrected formation energy is 1.272 eV per atom. As for the crystal system: tetragonal.

---

(6)
Here is Nb3InPb after structural relaxation from the Alexandria database. Energies are from PBEsol.

Lattice parameters (Å, degrees): 4.992 4.992 4.992 90.00 90.00 90.00
Fractional coordinates of all 5 atoms:
In  0.000  0.000  0.000
Pb  0.500  0.500  0.500
Nb  0.500  0.000  0.000
Nb  0.000  0.500  0.000
Nb  0.000  0.000  0.500

Results
As for the crystal system: cubic. The value obtained for the offset from the most stable computed form is 0 meV per atom. The formation enthalpy at 0 K comes out at 1.665 eV/atom.

---

(7)
Here is NbIn2Pd2 after structural relaxation from the Alexandria database. Energies are from PBEsol.

Lattice parameters (Å, degrees): 3.850 3.850 6.870 106.27 106.27 90.00
Fractional coordinates of all 5 atoms:
In  0.607  0.607  0.214
In  0.393  0.393  0.786
Nb  0.000  0.000  0.000
Pd  0.750  0.250  0.500
Pd  0.250  0.750  0.500

Results
As for the crystal system: tetragonal. The formation enthalpy at 0 K comes out at 0.097 eV/atom.

---

(8)
Here is NbIn3Pt after structural relaxation from the Alexandria database. Energies are from PBEsol.

Lattice parameters (Å, degrees): 5.210 5.210 5.210 90.00 90.00 90.00
Fractional coordinates of all 5 atoms:
In  0.500  0.000  0.000
In  0.000  0.500  0.000
In  0.000  0.000  0.500
Nb  0.000  0.000  0.000
Pt  0.500  0.500  0.500

Results
As for the crystal system: cubic. The formation enthalpy at 0 K comes out at 1.232 eV/atom.

---

(9)
Here is NbInRe3 after structural relaxation from the Alexandria database. Energies are from PBEsol.

Lattice parameters (Å, degrees): 4.733 4.733 4.733 90.00 90.00 90.00
Last column: magnetic moment on the atom in μB.
Fractional coordinates of all 5 atoms:
Re  0.000  0.000  0.500  0.67
Re  0.500  0.000  0.000  0.67
Re  0.000  0.500  0.000  0.67
Nb  0.000  0.000  0.000  -0.04
In  0.500  0.500  0.500  -0.04

Results
As for the crystal system: cubic. The formation enthalpy at 0 K comes out at 2.345 eV/atom.

---

(10)
Here is NbInReTe2 after structural relaxation from the Alexandria database. Energies are from PBEsol.

Lattice parameters (Å, degrees): 4.950 5.190 5.190 90.00 90.00 90.00
Last column: magnetic moment on the atom in μB.
Fractional coordinates of all 5 atoms:
Nb  0.500  0.000  0.000  1.41
In  0.500  0.500  0.500  0.02
Te  0.000  0.000  0.500  0.01
Te  0.000  0.500  0.000  0.01
Re  0.000  0.000  0.000  -0.19

Results
The uncorrected formation energy is 0.940 eV per atom. As for the crystal system: tetragonal.

---

(11)
Here is Nb2InRh2 after structural relaxation from the Alexandria database. Energies are from PBEsol.

Lattice parameters (Å, degrees): 2.948 7.567 7.567 90.00 90.00 90.00
Fractional coordinates of all 10 atoms:
In  0.000  0.500  0.500
In  0.000  0.000  0.000
Rh  0.000  0.627  0.127
Rh  0.000  0.373  0.873
Rh  0.000  0.127  0.373
Rh  0.000  0.873  0.627
Nb  0.500  0.166  0.666
Nb  0.500  0.334  0.166
Nb  0.500  0.834  0.334
Nb  0.500  0.666  0.834

Results
As for the crystal system: tetragonal. The formation enthalpy at 0 K comes out at -0.324 eV/atom.

---

(12)
Here is NbInRu3 after structural relaxation from the Alexandria database. Energies are from PBEsol.

Lattice parameters (Å, degrees): 4.635 4.635 4.635 90.00 90.00 90.00
Fractional coordinates of all 5 atoms:
In  0.000  0.000  0.000
Ru  0.000  0.000  0.500
Ru  0.500  0.000  0.000
Ru  0.000  0.500  0.000
Nb  0.500  0.500  0.500

Results
As for the crystal system: cubic. The formation enthalpy at 0 K comes out at 2.119 eV/atom.